Entry 1:
# LaNb2Pd

Crystalline LaNb2Pd at its relaxed geometry (GGA-PBE, Alexandria via LeMat-Bulk).

Unit cell a=3.997 b=3.997 c=21.920 alpha=90.00 beta=90.00 gamma=90.00
Space group I-42d (No. 122)
Inequivalent atoms, fractional coordinates:
La 0.000 0.000 0.000 (multiplicity 4)
Nb 0.237 0.250 0.625 (multiplicity 8)
Pd 0.000 0.000 0.500 (multiplicity 4)

## Properties
**Excess energy over the best structure of this formula in the dataset**: 0.000 eV/atom
**ΔE_f**: 0.2513 eV/atom
**ρ**: 8.179 g/cm3
**Size of the total moment**: 0.0 μB per formula unit

***

Entry 2:
# TmPuCuTc

Crystalline TmPuCuTc at its relaxed geometry (GGA-PBE, Alexandria via LeMat-Bulk).

Unit cell a=6.805 b=6.805 c=6.805 alpha=90.00 beta=90.00 gamma=90.00
Space group F-43m (No. 216)
Inequivalent atoms, fractional coordinates:
Tm 0.000 0.000 0.000 (multiplicity 4)
Pu 0.000 0.000 0.500 (multiplicity 4)
Cu 0.250 0.250 0.750 (multiplicity 4)
Tc 0.250 0.250 0.250 (multiplicity 4)

## Properties
**ΔE_f**: -0.0006 eV/atom
**ρ**: 12.109 g/cm3
**Size of the total moment**: 4.5 μB per formula unit

***

Entry 3:
# LiCrAsRu

Crystalline LiCrAsRu at its relaxed geometry (GGA-PBE, Alexandria via LeMat-Bulk).

Unit cell a=5.970 b=5.970 c=5.970 alpha=90.00 beta=90.00 gamma=90.00
Space group F-43m (No. 216)
Inequivalent atoms, fractional coordinates:
Li 0.000 0.000 0.000 (multiplicity 4)
Cr 0.250 0.250 0.250 (multiplicity 4)
As 0.250 0.250 0.750 (multiplicity 4)
Ru 0.000 0.000 0.500 (multiplicity 4)

## Properties
**ΔE_f**: -0.1385 eV/atom
**ρ**: 7.335 g/cm3
**Size of the total moment**: 2.0 μB per formula unit

***

Entry 4:
# Er6Os2Ru

Crystalline Er6Os2Ru at its relaxed geometry (GGA-PBE, Alexandria via LeMat-Bulk).

Unit cell a=6.541 b=7.295 c=11.074 alpha=90.00 beta=123.46 gamma=90.00
Space group P2_1/c (No. 14)
Inequivalent atoms, fractional coordinates:
Er 0.076 0.033 0.238 (multiplicity 4)
Er 0.215 0.666 0.067 (multiplicity 4)
Er 0.401 0.171 0.073 (multiplicity 4)
Os 0.314 0.140 0.776 (multiplicity 4)
Ru 0.500 0.000 0.500 (multiplicity 2)

## Properties
**Excess energy over the best structure of this formula in the dataset**: 0.019 eV/atom
**ΔE_f**: -0.2429 eV/atom
**ρ**: 11.189 g/cm3
**Size of the total moment**: 0.0 μB per formula unit

***

> Look up the size of the total moment of the fourth one.

0.0 μB per formula unit